1.
{"formula": "HfSiNi", "functional": "PBE", "state": "optimized geometry", "cell": [[-1.589, 2.805, -0.045], [-3.420, -1.925, 0.786], [2.279, 1.339, 3.006]], "species": ["Hf", "Si", "Ni"], "frac_coords": [[0.667, 0.333, 0.667], [0.167, 0.000, 0.000], [0.167, 0.667, 0.333]]}

2.
{"formula": "HfSiNi", "functional": "PBE", "state": "optimized geometry", "cell": [[-5.609, -0.557, -2.921], [-2.875, -3.390, 6.166], [2.722, 6.874, 0.363]], "species": ["Si", "Si", "Hf", "Ni", "Si", "Hf", "Si", "Hf", "Si", "Ni", "Hf", "Ni", "Ni", "Hf", "Ni", "Si", "Ni", "Hf"], "frac_coords": [[0.087, 0.833, 0.667], [0.754, 0.750, 0.000], [0.333, 0.750, 0.000], [0.000, 0.500, 0.000], [0.754, 0.250, 0.000], [0.174, 0.460, 0.420], [0.420, 0.167, 0.333], [0.174, 0.960, 0.420], [0.420, 0.667, 0.333], [0.506, 0.876, 0.753], [0.753, 0.040, 0.580], [0.753, 0.124, 0.247], [0.506, 0.376, 0.753], [0.753, 0.540, 0.580], [0.753, 0.624, 0.247], [0.087, 0.333, 0.667], [0.000, 0.000, 0.000], [0.333, 0.250, 0.000]]}

3.
{"formula": "HfSi2Ni3", "functional": "PBE", "state": "optimized geometry", "cell": [[3.679, 0.000, 0.000], [-1.839, 7.128, -2.350], [0.000, -0.031, 9.024]], "species": ["Si", "Ni", "Ni", "Si", "Hf", "Ni", "Ni", "Ni", "Ni", "Hf", "Ni", "Ni", "Si", "Ni", "Si", "Si", "Hf", "Si"], "frac_coords": [[0.538, 0.076, 0.784], [0.959, 0.918, 0.662], [0.784, 0.568, 0.608], [0.638, 0.276, 0.453], [0.000, 0.000, 0.000], [0.216, 0.432, 0.392], [0.618, 0.237, 0.194], [0.382, 0.763, 0.806], [0.319, 0.637, 0.031], [0.846, 0.692, 0.306], [0.041, 0.082, 0.338], [0.500, 0.000, 0.500], [0.362, 0.724, 0.547], [0.681, 0.363, 0.969], [0.800, 0.601, 0.867], [0.200, 0.399, 0.133], [0.154, 0.308, 0.694], [0.462, 0.924, 0.216]]}

4.
{"formula": "Hf2SiNi", "functional": "PBE", "state": "optimized geometry", "de_polymorph_mev_per_atom": 588.2, "cell": [[7.040, 0.000, 0.000], [0.000, 7.040, 0.000], [3.520, 3.520, 2.920]], "species": ["Hf", "Ni", "Si", "Si", "Hf", "Hf", "Ni", "Hf"], "frac_coords": [[0.875, 0.897, 0.750], [0.000, 0.000, 0.000], [0.250, 0.750, 0.500], [0.500, 0.500, 0.000], [0.103, 0.625, 0.250], [0.647, 0.125, 0.250], [0.750, 0.250, 0.500], [0.375, 0.353, 0.750]]}

5.
{"formula": "Hf4Si6Ni5", "functional": "PBE", "state": "optimized geometry", "cell": [[3.823, 0.000, 0.000], [-1.912, 8.621, 0.000], [0.000, 0.000, 13.688]], "species": ["Ni", "Hf", "Si", "Ni", "Ni", "Ni", "Ni", "Ni", "Si", "Hf", "Hf", "Si", "Ni", "Si", "Hf", "Si", "Si", "Hf", "Ni", "Hf", "Hf", "Si", "Si", "Ni", "Ni", "Hf", "Si", "Si", "Si", "Si"], "frac_coords": [[0.444, 0.888, 0.681], [0.966, 0.931, 0.266], [0.230, 0.460, 0.753], [0.644, 0.288, 0.479], [0.147, 0.293, 0.630], [0.356, 0.712, 0.979], [0.694, 0.389, 0.118], [0.556, 0.112, 0.181], [0.425, 0.850, 0.407], [0.817, 0.635, 0.441], [0.836, 0.671, 0.806], [0.575, 0.150, 0.907], [0.341, 0.683, 0.273], [0.575, 0.150, 0.630], [0.034, 0.069, 0.766], [0.886, 0.772, 0.618], [0.114, 0.228, 0.118], [0.985, 0.970, 0.002], [0.659, 0.317, 0.773], [0.164, 0.329, 0.306], [0.015, 0.030, 0.502], [0.784, 0.568, 0.994], [0.770, 0.540, 0.253], [0.306, 0.611, 0.618], [0.853, 0.707, 0.130], [0.183, 0.365, 0.941], [0.216, 0.432, 0.494], [0.557, 0.115, 0.356], [0.425, 0.850, 0.130], [0.443, 0.885, 0.856]]}

6.
{"formula": "HfSiNi", "functional": "PBE", "state": "optimized geometry", "cell": [[3.789, 0.000, 0.000], [0.000, 6.432, 0.000], [0.000, 0.000, 7.236]], "species": ["Si", "Ni", "Ni", "Hf", "Si", "Hf", "Ni", "Si", "Hf", "Ni", "Hf", "Si"], "frac_coords": [[0.750, 0.228, 0.615], [0.250, 0.641, 0.062], [0.250, 0.141, 0.438], [0.750, 0.482, 0.315], [0.250, 0.272, 0.115], [0.250, 0.518, 0.685], [0.750, 0.859, 0.562], [0.250, 0.772, 0.385], [0.250, 0.018, 0.815], [0.750, 0.359, 0.938], [0.750, 0.982, 0.185], [0.750, 0.728, 0.885]]}

7.
{"formula": "HfSi2Ni2", "functional": "PBE", "state": "optimized geometry", "cell": [[3.751, 0.000, 0.000], [0.000, 3.751, 0.000], [1.876, 1.876, 4.847]], "species": ["Ni", "Si", "Si", "Hf", "Ni"], "frac_coords": [[0.250, 0.750, 0.500], [0.381, 0.381, 0.238], [0.619, 0.619, 0.762], [0.000, 0.000, 0.000], [0.750, 0.250, 0.500]]}

8.
{"formula": "HfSi3Ni10", "functional": "PBE", "state": "optimized geometry", "cell": [[-3.546, 6.707, -2.327], [-2.688, 5.149, 5.407], [3.654, 6.973, 0.999]], "species": ["Ni", "Si", "Hf", "Ni", "Ni", "Si", "Ni", "Si", "Ni", "Ni", "Ni", "Ni", "Ni", "Ni", "Ni", "Hf", "Ni", "Ni", "Ni", "Ni", "Ni", "Ni", "Ni", "Si", "Si", "Ni", "Ni", "Si"], "frac_coords": [[0.000, 0.000, 0.352], [0.265, 0.735, 0.735], [0.750, 0.750, 0.750], [0.000, 0.000, 0.648], [0.352, 0.000, 0.648], [0.735, 0.265, 0.265], [0.352, 0.648, 0.000], [0.265, 0.735, 0.265], [0.648, 0.352, 0.000], [0.000, 0.648, 0.000], [0.856, 0.381, 0.381], [0.000, 0.352, 0.648], [0.381, 0.381, 0.856], [0.381, 0.856, 0.381], [0.619, 0.144, 0.619], [0.250, 0.250, 0.250], [0.000, 0.648, 0.352], [0.352, 0.000, 0.000], [0.648, 0.000, 0.352], [0.619, 0.619, 0.144], [0.144, 0.619, 0.619], [0.000, 0.352, 0.000], [0.619, 0.619, 0.619], [0.735, 0.265, 0.735], [0.265, 0.265, 0.735], [0.381, 0.381, 0.381], [0.648, 0.000, 0.000], [0.735, 0.735, 0.265]]}

Listing DOS(E_F) for the structures above in their given order: 0.46; 0.53; 0.58; 0.90; 0.64; 0.11; 0.59; 0.86 states/eV/atom.
Listing formation energy (no corrections) for the structures above in their given order: -0.811; -0.828; -0.723; -0.101; -0.658; -0.894; -0.763; -0.376 eV/atom.
Listing uncorrected energy for the structures above in their given order: -7.864; -7.881; -7.080; -7.879; -7.408; -7.946; -7.236; -6.379 eV per atom.